! PmNdSe2 | Alexandria | GGA-PBE | optimized geometry; values from VASP
! Formation energy (no corrections)   -1.811 eV/atom
! Polymorph energy (0 for the lowest one)   25.9 meV/atom
! DOS(E_F)   1.0 states/eV/cell
&SYSTEM
  ibrav = 0, nat = 4, ntyp = 3
/
ATOMIC_SPECIES
Se 78.96 Se.upf
Nd 144.24 Nd.upf
Pm 145.00 Pm.upf
ATOMIC_POSITIONS angstrom
Se 2.057 1.187 1.825
Nd 6.170 3.562 7.193
Pm 4.113 2.375 3.769
Se 2.057 1.187 5.487
CELL_PARAMETERS angstrom
4.113 0.000 0.000
2.057 3.562 0.000
2.057 1.187 7.310



! Th6Si2PtSe3 | Alexandria | GGA-PBE | optimized geometry; values from VASP
! Formation energy (no corrections)   -1.229 eV/atom
! DOS(E_F)   9.4 states/eV/cell
&SYSTEM
  ibrav = 0, nat = 12, ntyp = 4
/
ATOMIC_SPECIES
Si 28.09 Si.upf
Th 232.04 Th.upf
Se 78.96 Se.upf
Pt 195.08 Pt.upf
ATOMIC_POSITIONS angstrom
Si 0.000 2.060 3.095
Th 2.100 4.157 9.158
Si 2.100 4.114 6.208
Th 2.100 4.111 3.257
Th 0.000 2.062 6.046
Se 2.100 4.295 0.182
Se 0.000 6.346 3.295
Th 2.100 0.005 2.970
Th 0.000 6.169 6.333
Se 2.100 -0.173 6.008
Th 0.000 2.017 0.145
Pt 2.100 0.000 0.000
CELL_PARAMETERS angstrom
4.201 0.000 0.000
0.000 8.589 0.364
-2.100 -2.416 8.939



! Rb6AgAu2O | Alexandria | GGA-PBE | optimized geometry; values from VASP
! Formation energy (no corrections)   -0.383 eV/atom
! DOS(E_F)   6.5 states/eV/cell
&SYSTEM
  ibrav = 0, nat = 20, ntyp = 4
/
ATOMIC_SPECIES
O 16.00 O.upf
Au 196.97 Au.upf
Rb 85.47 Rb.upf
Ag 107.87 Ag.upf
ATOMIC_POSITIONS angstrom
O -5.862 -2.504 -3.820
Au -9.078 -5.631 -5.936
O -1.493 -2.077 3.652
Au -10.535 -4.704 -0.561
Rb -1.614 -1.825 0.794
Au -4.174 -4.458 0.226
Rb -10.026 -1.215 0.036
Rb -3.718 -4.130 -3.249
Rb -2.727 -4.573 3.446
Rb -9.140 -7.844 0.974
Rb -10.991 -5.032 2.914
Rb -7.107 -4.658 2.382
Rb -5.569 -1.319 -1.308
Ag -0.353 -3.512 -2.142
Ag -7.001 -1.070 1.974
Rb -7.602 -4.505 -2.717
Rb -4.683 -7.947 -0.370
Rb -11.981 -4.589 -3.780
Rb -13.095 -7.338 -1.129
Au -5.631 -3.532 5.601
CELL_PARAMETERS angstrom
-0.707 -7.023 -4.283
-2.986 -4.154 7.305
-11.016 2.015 -3.356



! CuWSe | Alexandria | GGA-PBE | optimized geometry; values from VASP
! Formation energy (no corrections)   0.210 eV/atom
! Polymorph energy (0 for the lowest one)   109.0 meV/atom
! DOS(E_F)   3.5 states/eV/cell
&SYSTEM
  ibrav = 0, nat = 6, ntyp = 3
/
ATOMIC_SPECIES
Cu 63.55 Cu.upf
Se 78.96 Se.upf
W 183.84 W.upf
ATOMIC_POSITIONS angstrom
Cu 3.054 0.000 5.490
Se -0.079 1.639 3.641
W 1.386 1.639 1.483
Se 2.780 0.000 2.863
Cu 4.411 1.639 1.471
W 2.823 0.000 0.050
CELL_PARAMETERS angstrom
5.786 0.000 -0.008
0.000 3.278 0.000
-2.626 0.000 5.510



! Ta5VTc4 | Alexandria | GGA-PBE | optimized geometry; values from VASP
! Formation energy from the elements   -0.413 eV/atom
! DOS(E_F)   4.4 states/eV/cell
&SYSTEM
  ibrav = 0, nat = 10, ntyp = 3
/
ATOMIC_SPECIES
Ta 180.95 Ta.upf
Tc 98.00 Tc.upf
V 50.94 V.upf
ATOMIC_POSITIONS angstrom
Ta 0.585 -11.294 1.514
Tc 2.266 -12.058 3.555
Tc 1.134 -6.031 1.778
Tc 1.700 -9.045 2.666
Tc 0.567 -3.018 0.890
Ta -0.551 -5.251 -0.268
V 0.000 0.000 0.000
Ta 1.150 -14.301 2.400
Ta -1.116 -2.244 -1.154
Ta 0.017 -8.273 0.623
CELL_PARAMETERS angstrom
-3.114 -0.629 -0.148
0.315 -0.840 -3.051
2.833 -15.076 4.445



! BaBe2Rh | Alexandria | GGA-PBE | optimized geometry; values from VASP
! Polymorph energy (0 for the lowest one)   896.5 meV/atom
! Formation energy from the elements   0.706 eV/atom
! DOS(E_F)   3.2 states/eV/cell
&SYSTEM
  ibrav = 0, nat = 4, ntyp = 3
/
ATOMIC_SPECIES
Rh 102.91 Rh.upf
Ba 137.33 Ba.upf
Be 9.01 Be.upf
ATOMIC_POSITIONS angstrom
Rh 0.000 0.000 0.000
Ba -5.503 1.067 -1.371
Be -8.255 1.601 -2.057
Be -2.752 0.534 -0.686
CELL_PARAMETERS angstrom
-4.082 -1.946 -1.325
-4.075 1.786 1.552
-2.850 2.294 -2.969



! MgTe2W | Alexandria | GGA-PBE | optimized geometry; values from VASP
! Formation energy (no corrections)   0.215 eV/atom
! DOS(E_F)   2.6 states/eV/cell
&SYSTEM
  ibrav = 0, nat = 4, ntyp = 3
/
ATOMIC_SPECIES
W 183.84 W.upf
Te 127.60 Te.upf
Mg 24.30 Mg.upf
ATOMIC_POSITIONS angstrom
W 1.119 4.406 -0.352
Te 2.148 8.457 -0.676
Mg 1.546 6.432 1.808
Te 0.710 3.141 2.071
CELL_PARAMETERS angstrom
-2.282 0.757 2.222
2.206 -0.369 2.391
2.239 8.819 -0.705



! Ce2SmSi | Alexandria | GGA-PBE | optimized geometry; values from VASP
! Formation energy (no corrections)   -0.086 eV/atom
! Polymorph energy (0 for the lowest one)   304.1 meV/atom
! DOS(E_F)   8.3 states/eV/cell
&SYSTEM
  ibrav = 0, nat = 4, ntyp = 3
/
ATOMIC_SPECIES
Si 28.09 Si.upf
Sm 150.36 Sm.upf
Ce 140.12 Ce.upf
ATOMIC_POSITIONS angstrom
Si 3.798 2.193 0.005
Sm 3.798 2.193 4.747
Ce 1.899 1.096 1.856
Ce 1.899 1.096 7.657
CELL_PARAMETERS angstrom
3.798 0.000 0.000
1.899 3.289 0.000
1.899 1.096 9.510



! AlC3Se | Alexandria | GGA-PBE | optimized geometry; values from VASP
! Formation energy (no corrections)   2.711 eV/atom
! Polymorph energy (0 for the lowest one)   255.5 meV/atom
! DOS(E_F)   3.9 states/eV/cell
&SYSTEM
  ibrav = 0, nat = 5, ntyp = 3
/
ATOMIC_SPECIES
Se 78.96 Se.upf
C 12.01 C.upf
Al 26.98 Al.upf
ATOMIC_POSITIONS angstrom
Se 0.000 0.000 0.000
C 1.948 0.000 0.000
C 0.000 1.948 0.000
C 0.000 0.000 1.948
Al 1.948 1.948 1.948
CELL_PARAMETERS angstrom
3.896 0.000 0.000
0.000 3.896 0.000
0.000 0.000 3.896



! MoWC | Alexandria | GGA-PBE | optimized geometry; values from VASP
! Polymorph energy (0 for the lowest one)   594.1 meV/atom
! Formation energy from the elements   0.510 eV/atom
! DOS(E_F)   1.8 states/eV/cell
&SYSTEM
  ibrav = 0, nat = 3, ntyp = 3
/
ATOMIC_SPECIES
C 12.01 C.upf
Mo 95.94 Mo.upf
W 183.84 W.upf
ATOMIC_POSITIONS angstrom
C 10.656 2.540 0.143
Mo 4.482 0.283 1.639
W 7.146 1.257 0.994
CELL_PARAMETERS angstrom
5.813 -0.072 0.048
4.844 2.612 0.095
0.970 -1.001 2.491



! TiAg2Ge | Alexandria | GGA-PBE | optimized geometry; values from VASP
! Formation energy from the elements   0.098 eV/atom
! DOS(E_F)   5.5 states/eV/cell
&SYSTEM
  ibrav = 0, nat = 8, ntyp = 3
/
ATOMIC_SPECIES
Ag 107.87 Ag.upf
Ti 47.87 Ti.upf
Ge 72.64 Ge.upf
ATOMIC_POSITIONS angstrom
Ag 2.841 2.835 7.743
Ti 1.894 3.788 5.162
Ag 4.734 4.741 7.743
Ag 0.941 2.841 2.581
Ag 2.847 0.947 2.581
Ti 1.894 1.894 0.000
Ge 0.000 0.000 0.000
Ge 3.788 1.894 5.162
CELL_PARAMETERS angstrom
3.788 0.000 0.000
0.000 3.788 0.000
1.894 1.894 10.324



! Ba2YAl2O6 | Alexandria | GGA-PBE | optimized geometry; values from VASP
! Formation energy (no corrections)   -2.744 eV/atom
! DOS(E_F)   3.3 states/eV/cell
&SYSTEM
  ibrav = 0, nat = 11, ntyp = 4
/
ATOMIC_SPECIES
O 16.00 O.upf
Ba 137.33 Ba.upf
Al 26.98 Al.upf
Y 88.91 Y.upf
ATOMIC_POSITIONS angstrom
O 5.929 1.705 1.567
O 7.417 4.282 1.567
Ba 2.964 1.712 2.326
O 5.929 5.141 4.541
Ba 8.893 5.135 3.782
Al 5.929 3.423 4.779
O 4.441 2.564 4.541
O 7.417 2.564 4.541
Y 0.000 0.000 0.000
O 4.441 4.282 1.567
Al 5.929 3.423 1.329
CELL_PARAMETERS angstrom
5.929 0.000 0.000
2.964 5.135 0.000
2.964 1.712 6.108